(1)
This record from Alexandria describes a relaxed structure of MgBiSbTe2. The functional is GGA-PBE.

a b c (Å): 5.415 5.415 5.432
angles (deg): 90.00 90.00 90.00
Positions (direct):
Mg: 0.000 0.000 0.000
Te: 0.500 0.000 0.000
Te: 0.000 0.500 0.000
Sb: 0.000 0.000 0.500
Bi: 0.500 0.500 0.500

Values from the calculation:
Space-group type: P4/mmm (123)
Total energy in eV/cell: -14.4

---

(2)
This record from Alexandria describes a relaxed structure of MgBiSbTe2. The functional is GGA-PBE.

a b c (Å): 5.956 5.801 5.956
angles (deg): 90.00 90.00 90.00
Each line ends with the local moment (μB).
Positions (direct):
Mg: 0.500 0.500 0.500  -0.02
Te: 0.500 0.000 0.000  0.04
Te: 0.000 0.000 0.500  0.07
Sb: 0.000 0.500 0.000  0.24
Bi: 0.000 0.000 0.000  -0.02

Values from the calculation:
Space-group type: P4/mmm (123)
Total energy in eV/cell: -12.9

---

(3)
This record from Alexandria describes a relaxed structure of MgTiBi2Sb. The functional is GGA-PBE.

a b c (Å): 5.427 5.279 5.427
angles (deg): 90.00 90.00 90.00
Positions (direct):
Mg: 0.500 0.500 0.500
Sb: 0.000 0.500 0.000
Bi: 0.000 0.000 0.500
Bi: 0.500 0.000 0.000
Ti: 0.000 0.000 0.000

Values from the calculation:
Space-group type: P4/mmm (123)
Total energy in eV/cell: -20.4

---

(4)
This record from Alexandria describes a relaxed structure of Mg2BiSbW. The functional is GGA-PBE.

a b c (Å): 5.149 6.145 5.149
angles (deg): 90.00 90.00 90.00
Each line ends with the local moment (μB).
Positions (direct):
Mg: 0.000 0.000 0.500  -0.01
Mg: 0.500 0.000 0.000  0.00
Sb: 0.000 0.000 0.000  0.01
Bi: 0.000 0.500 0.000  -0.22
W: 0.500 0.500 0.500  3.10

Values from the calculation:
Space-group type: P4/mmm (123)
Total energy in eV/cell: -17.1

---

(5)
This record from Alexandria describes a relaxed structure of MgZnBiSb2. The functional is GGA-PBE.

a b c (Å): 5.373 5.551 5.373
angles (deg): 90.00 90.00 90.00
Positions (direct):
Sb: 0.500 0.000 0.000
Sb: 0.000 0.000 0.500
Bi: 0.000 0.500 0.000
Mg: 0.000 0.000 0.000
Zn: 0.500 0.500 0.500

Values from the calculation:
Space-group type: P4/mmm (123)
Total energy in eV/cell: -11.8

---

(6)
This record from Alexandria describes a relaxed structure of Mg2Sc2Bi. The functional is GGA-PBE.

a b c (Å): 7.577 7.577 4.638
angles (deg): 90.00 90.00 90.00
Positions (direct):
Mg: 0.647 0.853 0.500
Mg: 0.353 0.147 0.500
Mg: 0.147 0.647 0.500
Mg: 0.853 0.353 0.500
Sc: 0.650 0.150 0.000
Sc: 0.850 0.650 0.000
Sc: 0.150 0.350 0.000
Sc: 0.350 0.850 0.000
Bi: 0.000 0.000 0.000
Bi: 0.500 0.500 0.000

Values from the calculation:
Space-group type: P4/mbm (127)
Formation energy in eV/f.u.: -0.30